A plane-wave DFT calculation with PBEsol was carried out for a relaxed LaTl2W crystal.

Structure (CIF):
```
data_LaTl2W
_symmetry_space_group_name_H-M 'P 1'
_symmetry_Int_Tables_number 1
_symmetry_space_group_name_Hall 'P 1'
_cell_length_a 3.0696
_cell_length_b 3.0696
_cell_length_c 10.3663
_cell_angle_alpha 90.00
_cell_angle_beta 90.00
_cell_angle_gamma 110.87
loop_
_atom_site_label
_atom_site_fract_x
_atom_site_fract_y
_atom_site_fract_z
Tl1 0.0000 0.0000 0.7238
Tl2 0.0000 0.0000 0.2762
W1 0.5000 0.5000 0.5000
La1 0.5000 0.5000 0.0000
```

Values from the calculation:
Crystal system   orthorhombic
Space group   Cmmm
ΔE to the lowest computed polymorph   0.081 eV/atom

***

A plane-wave DFT calculation with PBEsol was carried out for a relaxed La2YTl2 crystal.

Structure (CIF):
```
data_La2YTl2
_symmetry_space_group_name_H-M 'P 1'
_symmetry_Int_Tables_number 1
_symmetry_space_group_name_Hall 'P 1'
_cell_length_a 4.6706
_cell_length_b 8.1542
_cell_length_c 8.1542
_cell_angle_alpha 90.00
_cell_angle_beta 90.00
_cell_angle_gamma 90.00
loop_
_atom_site_label
_atom_site_fract_x
_atom_site_fract_y
_atom_site_fract_z
Y1 0.0000 0.5000 0.5000
Y2 0.0000 0.0000 0.0000
La1 0.5000 0.6681 0.8319
La2 0.5000 0.8319 0.3319
La3 0.5000 0.1681 0.6681
La4 0.5000 0.3319 0.1681
Tl1 0.0000 0.6315 0.1315
Tl2 0.0000 0.1315 0.3685
Tl3 0.0000 0.8685 0.6315
Tl4 0.0000 0.3685 0.8685
```

Values from the calculation:
Crystal system   tetragonal
Space group   P4/mbm

***

A plane-wave DFT calculation with PBEsol was carried out for a relaxed LaTlZn crystal.

Structure (CIF):
```
data_LaTlZn
_symmetry_space_group_name_H-M 'P 1'
_symmetry_Int_Tables_number 1
_symmetry_space_group_name_Hall 'P 1'
_cell_length_a 4.8093
_cell_length_b 4.8093
_cell_length_c 4.8093
_cell_angle_alpha 60.00
_cell_angle_beta 60.00
_cell_angle_gamma 60.00
loop_
_atom_site_label
_atom_site_fract_x
_atom_site_fract_y
_atom_site_fract_z
Zn1 0.2500 0.2500 0.2500
Tl1 0.5000 0.5000 0.5000
La1 0.0000 0.0000 0.0000
```

Values from the calculation:
Crystal system   cubic
Space group   F-43m

***

In Bohr magnetons per cell, the M_tot values for the records above are, in order, 0.00 0.00 0.00.
In states/eV per cell, the DOS at the Fermi energy values for the records above are, in order, 2.9 13.5 0.5.
In eV/atom, the formation energy values for the records above are, in order, 0.5389 -0.3858 -0.3683.